First-principles (PBE) data for a relaxed MgBe2TcRu crystal, as listed in Alexandria.

## Properties
The density of states at the Fermi level comes out at 3.3 states/eV/f.u. The symmetry is No. 123. For the formation energy, the calculation gives 1648 meV per atom. The calculated volume comes out at 76.2 Å³/f.u.

a b c (Å): 4.162 4.398 4.162
angles (deg): 90.00 90.00 90.00
Last column: magnetic moment on the atom in μB.
Fractional coordinates of all 5 atoms:
Ru 0.000 0.500 0.000  0.41
Mg 0.000 0.000 0.000  0.00
Tc 0.500 0.500 0.500  2.18
Be 0.000 0.000 0.500  -0.05
Be 0.500 0.000 0.000  -0.03